Zn3CdPd | PBE-GGA | optimized geometry

Its energy relative to the elements is -0.18 eV/atom. As for the final energy: -21.706 eV per cell. Its density of states at the Fermi level is 0.31 states/eV/atom.

The space group is P1 (No. 1) and the conventional cell measures 4.4642, 5.0251 and 7.5890 Å, with angles of 90.02, 107.04 and 90.00 degrees. Symmetry generates all atoms from Zn at (0.0000, 0.0000, 0.0000), Zn at (0.0832, 0.5002, 0.1590), Zn at (0.3046, 0.6566, 0.6023), Zn at (0.4922, 0.6798, 0.9806), Zn at (0.5908, 0.1810, 0.1776), Zn at (0.7782, 0.1599, 0.5552), Cd at (0.3918, 0.1697, 0.7821), Cd at (0.6911, 0.6722, 0.3761), Pd at (0.1863, 0.0515, 0.3691) and Pd at (0.8971, 0.5514, 0.7900).